An optimized crystal structure of NdSm2Zn2Ge2. Source: Alexandria via LeMat-Bulk, functional PBE.

Unit cell a=11.703 b=11.703 c=11.703 alpha=20.62 beta=20.62 gamma=20.62
Positions (direct):
Nd: 0.000 0.000 0.000
Sm: 0.123 0.123 0.123
Sm: 0.877 0.877 0.877
Zn: 0.394 0.394 0.394
Zn: 0.606 0.606 0.606
Ge: 0.269 0.269 0.269
Ge: 0.731 0.731 0.731

Output
For the formation energy, the calculation gives -482 meV per atom.

---

An optimized crystal structure of Tb2YAg4. Source: Alexandria via LeMat-Bulk, functional PBE.

Unit cell a=6.210 b=6.210 c=6.210 alpha=109.34 beta=109.34 gamma=109.73
Positions (direct):
Tb: 0.000 0.500 0.500
Tb: 0.500 0.000 0.500
Y: 0.000 0.000 0.000
Ag: 0.000 0.000 0.500
Ag: 0.000 0.500 0.000
Ag: 0.500 0.000 0.000
Ag: 0.500 0.500 0.500

Output
For the formation energy, the calculation gives -92 meV per atom.

---

An optimized crystal structure of Ho3Er6Th. Source: Alexandria via LeMat-Bulk, functional PBE.

Unit cell a=8.880 b=8.880 c=8.916 alpha=90.00 beta=90.00 gamma=116.47
Positions (direct):
Ho: 0.051 0.949 0.500
Ho: 0.179 0.470 0.012
Ho: 0.470 0.179 0.512
Ho: 0.530 0.821 0.012
Ho: 0.821 0.530 0.512
Ho: 0.949 0.051 0.000
Er: 0.031 0.327 0.355
Er: 0.196 0.315 0.684
Er: 0.217 0.783 0.242
Er: 0.315 0.196 0.184
Er: 0.327 0.031 0.855
Er: 0.446 0.554 0.372
Er: 0.554 0.446 0.872
Er: 0.673 0.969 0.355
Er: 0.685 0.804 0.684
Er: 0.783 0.217 0.742
Er: 0.804 0.685 0.184
Er: 0.969 0.673 0.855
Th: 0.276 0.724 0.607
Th: 0.724 0.276 0.107

Output
For the formation energy, the calculation gives 149 meV per atom. The energy relative to the lowest polymorph listed for this composition is 0.00 eV/f.u.

---

An optimized crystal structure of Y2GaAg2. Source: Alexandria via LeMat-Bulk, functional PBE.

Unit cell a=8.226 b=8.226 c=3.671 alpha=90.00 beta=90.00 gamma=90.00
Positions (direct):
Y: 0.168 0.332 0.000
Y: 0.332 0.832 0.000
Y: 0.668 0.168 0.000
Y: 0.832 0.668 0.000
Ga: 0.000 0.000 0.000
Ga: 0.500 0.500 0.000
Ag: 0.126 0.626 0.500
Ag: 0.374 0.126 0.500
Ag: 0.626 0.874 0.500
Ag: 0.874 0.374 0.500

Output
For the formation energy, the calculation gives -155 meV per atom. The energy relative to the lowest polymorph listed for this composition is 1.12 eV/f.u.

---

An optimized crystal structure of K3CrI6. Source: Alexandria via LeMat-Bulk, functional PBE.

Unit cell a=8.210 b=8.695 c=14.328 alpha=90.00 beta=124.11 gamma=90.00
Positions (direct):
K: 0.000 0.000 0.000
K: 0.000 0.500 0.500
K: 0.287 0.090 0.756
K: 0.287 0.410 0.256
K: 0.713 0.590 0.744
K: 0.713 0.910 0.244
Cr: 0.500 0.000 0.500
Cr: 0.500 0.500 0.000
I: 0.165 0.029 0.284
I: 0.165 0.471 0.784
I: 0.284 0.664 0.061
I: 0.284 0.836 0.561
I: 0.407 0.227 0.061
I: 0.407 0.273 0.561
I: 0.593 0.727 0.439
I: 0.593 0.773 0.939
I: 0.716 0.164 0.439
I: 0.716 0.336 0.939
I: 0.835 0.529 0.216
I: 0.835 0.971 0.716

---

An optimized crystal structure of ScMnOs2. Source: Alexandria via LeMat-Bulk, functional PBE.

Unit cell a=5.701 b=5.701 c=5.701 alpha=100.99 beta=100.99 gamma=128.22
Positions (direct):
Sc: 0.000 0.000 0.000
Sc: 0.750 0.250 0.500
Mn: 0.250 0.750 0.500
Mn: 0.500 0.500 0.000
Os: 0.188 0.625 0.063
Os: 0.375 0.438 0.563
Os: 0.562 0.125 0.937
Os: 0.875 0.812 0.437

Output
For the formation energy, the calculation gives 386 meV per atom.

---

An optimized crystal structure of RbHf3Ru. Source: Alexandria via LeMat-Bulk, functional PBE.

Unit cell a=5.146 b=5.146 c=5.146 alpha=90.00 beta=90.00 gamma=90.00
Positions (direct):
Rb: 0.000 0.000 0.000
Hf: 0.000 0.500 0.500
Hf: 0.500 0.000 0.500
Hf: 0.500 0.500 0.000
Ru: 0.500 0.500 0.500

Output
For the formation energy, the calculation gives 591 meV per atom. The energy relative to the lowest polymorph listed for this composition is 0.00 eV/f.u.

---

An optimized crystal structure of Nd5Ni2. Source: Alexandria via LeMat-Bulk, functional PBE.

Unit cell a=9.157 b=9.157 c=7.054 alpha=96.24 beta=96.24 gamma=41.80
Positions (direct):
Nd: 0.067 0.933 0.750
Nd: 0.144 0.284 0.315
Nd: 0.284 0.144 0.815
Nd: 0.300 0.508 0.076
Nd: 0.492 0.700 0.424
Nd: 0.508 0.300 0.576
Nd: 0.700 0.492 0.924
Nd: 0.716 0.856 0.185
Nd: 0.856 0.716 0.685
Nd: 0.933 0.067 0.250
Ni: 0.086 0.696 0.428
Ni: 0.304 0.914 0.072
Ni: 0.696 0.086 0.928
Ni: 0.914 0.304 0.572

Output
For the formation energy, the calculation gives -187 meV per atom.

---

An optimized crystal structure of Rb5AgClO2. Source: Alexandria via LeMat-Bulk, functional PBE.

Unit cell a=5.724 b=5.724 c=9.612 alpha=90.00 beta=90.00 gamma=90.00
Positions (direct):
Rb: 0.000 0.000 0.000
Rb: 0.000 0.500 0.280
Rb: 0.000 0.500 0.720
Rb: 0.500 0.000 0.280
Rb: 0.500 0.000 0.720
Ag: 0.000 0.000 0.500
Cl: 0.500 0.500 0.000
O: 0.000 0.000 0.283
O: 0.000 0.000 0.717

---

An optimized crystal structure of Si2NiIr. Source: Alexandria via LeMat-Bulk, functional PBE.

Unit cell a=6.507 b=6.507 c=6.507 alpha=132.90 beta=132.90 gamma=68.81
Positions (direct):
Si: 0.113 0.625 0.988
Si: 0.375 0.363 0.488
Si: 0.637 0.125 0.012
Si: 0.875 0.887 0.512
Ni: 0.000 0.000 0.000
Ni: 0.750 0.250 0.500
Ir: 0.250 0.750 0.500
Ir: 0.500 0.500 0.000

---

An optimized crystal structure of CaY2NpSb4. Source: Alexandria via LeMat-Bulk, functional PBE.

Unit cell a=7.657 b=4.418 c=7.658 alpha=90.00 beta=109.08 gamma=90.00
Positions (direct):
Ca: 0.000 0.000 0.000
Y: 0.000 0.500 0.500
Y: 0.500 0.000 0.500
Np: 0.500 0.500 0.000
Sb: 0.254 0.000 0.749
Sb: 0.258 0.500 0.253
Sb: 0.742 0.500 0.747
Sb: 0.746 0.000 0.251

---

An optimized crystal structure of Pm4MgAu2. Source: Alexandria via LeMat-Bulk, functional PBE.

Unit cell a=7.094 b=7.270 c=9.211 alpha=107.97 beta=107.21 gamma=102.97
Positions (direct):
Pm: 0.000 0.000 0.000
Pm: 0.012 0.511 0.023
Pm: 0.139 0.280 0.463
Pm: 0.436 0.202 0.852
Pm: 0.548 0.807 0.577
Pm: 0.596 0.861 0.171
Pm: 0.687 0.328 0.560
Pm: 0.982 0.741 0.446
Mg: 0.226 0.683 0.788
Mg: 0.450 0.407 0.236
Au: 0.272 0.940 0.312
Au: 0.611 0.613 0.836
Au: 0.786 0.288 0.187
Au: 0.971 0.139 0.710

Output
For the formation energy, the calculation gives -437 meV per atom.

---

An optimized crystal structure of Y6HoEr3Th2. Source: Alexandria via LeMat-Bulk, functional PBE.

Unit cell a=6.161 b=6.161 c=11.774 alpha=95.01 beta=95.01 gamma=119.96
Positions (direct):
Y: 0.080 0.417 0.751
Y: 0.247 0.247 0.249
Y: 0.417 0.080 0.751
Y: 0.583 0.920 0.249
Y: 0.753 0.753 0.751
Y: 0.920 0.583 0.249
Ho: 0.500 0.500 0.000
Er: 0.000 0.000 0.500
Er: 0.334 0.666 0.500
Er: 0.666 0.334 0.500
Th: 0.167 0.833 0.000
Th: 0.833 0.167 0.000

Output
For the formation energy, the calculation gives 29 meV per atom.

---

An optimized crystal structure of PuNpC. Source: Alexandria via LeMat-Bulk, functional PBE.

Unit cell a=5.991 b=5.991 c=5.991 alpha=149.95 beta=149.95 gamma=43.02
Positions (direct):
Pu: 0.000 0.000 0.000
Np: 0.232 0.232 0.000
C: 0.618 0.618 0.000

Output
For the formation energy, the calculation gives 366 meV per atom. The energy relative to the lowest polymorph listed for this composition is 1.49 eV/f.u.

---

An optimized crystal structure of ZnSnPd2. Source: Alexandria via LeMat-Bulk, functional PBE.

Unit cell a=3.141 b=3.141 c=8.338 alpha=100.86 beta=100.86 gamma=59.26
Positions (direct):
Zn: 0.000 0.000 0.000
Sn: 0.831 0.831 0.500
Pd: 0.253 0.253 0.763
Pd: 0.409 0.409 0.237

Output
For the formation energy, the calculation gives -351 meV per atom.

---

An optimized crystal structure of YCrCl2. Source: Alexandria via LeMat-Bulk, functional PBE.

Unit cell a=7.352 b=7.352 c=7.352 alpha=153.79 beta=142.99 gamma=45.92
Positions (direct):
Y: 0.000 0.000 0.000
Cr: 0.797 0.297 0.500
Cl: 0.164 0.664 0.500
Cl: 0.483 0.483 0.000

Output
The energy relative to the lowest polymorph listed for this composition is 0.73 eV/f.u.

---

An optimized crystal structure of AlCoAu2Se. Source: Alexandria via LeMat-Bulk, functional PBE.

Unit cell a=5.078 b=5.078 c=4.316 alpha=90.00 beta=90.00 gamma=90.00
Positions (direct):
Al: 0.000 0.000 0.000
Co: 0.500 0.500 0.000
Au: 0.000 0.500 0.500
Au: 0.500 0.000 0.500
Se: 0.500 0.500 0.500

Output
The energy relative to the lowest polymorph listed for this composition is 0.00 eV/f.u.

---

An optimized crystal structure of LaNd3Er2Se6. Source: Alexandria via LeMat-Bulk, functional PBE.

Unit cell a=7.229 b=7.229 c=7.282 alpha=99.53 beta=99.53 gamma=120.19
Positions (direct):
La: 0.000 0.000 0.000
Nd: 0.159 0.841 0.500
Nd: 0.500 0.500 0.500
Nd: 0.841 0.159 0.500
Er: 0.333 0.667 0.000
Er: 0.667 0.333 0.000
Se: 0.080 0.428 0.242
Se: 0.270 0.270 0.766
Se: 0.428 0.080 0.242
Se: 0.572 0.920 0.758
Se: 0.730 0.730 0.234
Se: 0.920 0.572 0.758

---

An optimized crystal structure of CaNb2H. Source: Alexandria via LeMat-Bulk, functional PBE.

Unit cell a=4.763 b=3.481 c=8.576 alpha=90.00 beta=105.40 gamma=90.00
Positions (direct):
Ca: 0.000 0.000 0.000
Ca: 0.440 0.500 0.878
Nb: 0.171 0.500 0.315
Nb: 0.290 0.000 0.561
Nb: 0.649 0.000 0.292
Nb: 0.794 0.500 0.587
H: 0.511 0.000 0.045
H: 0.769 0.500 0.174

Output
The energy relative to the lowest polymorph listed for this composition is 0.29 eV/f.u.

---

An optimized crystal structure of BeRe3. Source: Alexandria via LeMat-Bulk, functional PBE.

Unit cell a=5.344 b=5.344 c=8.914 alpha=90.00 beta=90.00 gamma=120.00
Positions (direct):
Be: 0.000 0.000 0.000
Be: 0.000 0.000 0.500
Be: 0.333 0.667 0.250
Be: 0.667 0.333 0.750
Re: 0.000 0.500 0.000
Re: 0.000 0.500 0.500
Re: 0.161 0.323 0.750
Re: 0.161 0.839 0.750
Re: 0.323 0.161 0.250
Re: 0.500 0.000 0.000
Re: 0.500 0.000 0.500
Re: 0.500 0.500 0.000
Re: 0.500 0.500 0.500
Re: 0.677 0.839 0.750
Re: 0.839 0.161 0.250
Re: 0.839 0.677 0.250

Output
For the formation energy, the calculation gives 192 meV per atom. The energy relative to the lowest polymorph listed for this composition is 1.02 eV/f.u.

---

An optimized crystal structure of CrCdCu2. Source: Alexandria via LeMat-Bulk, functional PBE.

Unit cell a=2.913 b=4.149 c=5.292 alpha=90.00 beta=105.72 gamma=90.00
Positions (direct):
Cr: 0.000 0.000 0.000
Cd: 0.331 0.500 0.669
Cu: 0.594 0.500 0.189
Cu: 0.721 0.000 0.453

Output
For the formation energy, the calculation gives 294 meV per atom.

---

An optimized crystal structure of SbAsOs2. Source: Alexandria via LeMat-Bulk, functional PBE.

Unit cell a=4.422 b=4.422 c=5.377 alpha=101.73 beta=101.73 gamma=40.27
Positions (direct):
Sb: 0.000 0.000 0.000
As: 0.500 0.500 0.500
Os: 0.246 0.246 0.722
Os: 0.754 0.754 0.278

Output
The energy relative to the lowest polymorph listed for this composition is 0.71 eV/f.u.

---

An optimized crystal structure of Sn2PdNO. Source: Alexandria via LeMat-Bulk, functional PBE.

Unit cell a=4.862 b=4.862 c=3.910 alpha=90.00 beta=90.00 gamma=90.00
Positions (direct):
Sn: 0.000 0.500 0.000
Sn: 0.500 0.000 0.000
Pd: 0.000 0.000 0.500
N: 0.000 0.000 0.000
O: 0.500 0.500 0.500

---

We obtain electronic total energy values of -4.20; -3.97; -4.70; -4.49; -3.23; -9.10; -7.43; -5.24; -3.15; -6.35; -6.38; -4.32; -5.96; -11.80; -4.27; -5.58; -3.55; -5.92; -6.24; -10.08; -4.39; -7.33; -4.88 eV/atom for the records listed above, in that order.